Model i:
La5Bi2Ir | PBE-GGA | optimized geometry

Cell and atoms, written as CIF:
```
data_La5Bi2Ir
_cell_length_a 8.481
_cell_length_b 9.352
_cell_length_c 13.122
_cell_angle_alpha 90.00
_cell_angle_beta 90.00
_cell_angle_gamma 90.00
_symmetry_space_group_name_H-M 'P 1'
_symmetry_Int_Tables_number 1
loop_
_symmetry_equiv_pos_as_xyz
'x,y,z'
loop_
_atom_site_label
_atom_site_type_symbol
_atom_site_fract_x
_atom_site_fract_y
_atom_site_fract_z
Ir1 Ir 0.570 0.750 0.489
Ir2 Ir 0.070 0.250 0.011
Ir3 Ir 0.930 0.750 0.989
Ir4 Ir 0.430 0.250 0.511
La1 La 0.684 0.041 0.437
La2 La 0.120 0.750 0.805
La3 La 0.380 0.750 0.305
La4 La 0.650 0.750 0.702
La5 La 0.684 0.459 0.437
La6 La 0.816 0.041 0.937
La7 La 0.880 0.250 0.195
La8 La 0.449 0.250 0.004
La9 La 0.816 0.459 0.937
La10 La 0.850 0.750 0.202
La11 La 0.051 0.250 0.504
La12 La 0.184 0.541 0.063
La13 La 0.350 0.250 0.298
La14 La 0.949 0.750 0.496
La15 La 0.150 0.250 0.798
La16 La 0.316 0.541 0.563
La17 La 0.551 0.750 0.996
La18 La 0.184 0.959 0.063
La19 La 0.316 0.959 0.563
La20 La 0.620 0.250 0.695
Bi1 Bi 0.077 0.992 0.327
Bi2 Bi 0.423 0.508 0.827
Bi3 Bi 0.923 0.492 0.673
Bi4 Bi 0.923 0.008 0.673
Bi5 Bi 0.077 0.508 0.327
Bi6 Bi 0.577 0.492 0.173
Bi7 Bi 0.577 0.008 0.173
Bi8 Bi 0.423 0.992 0.827
```

SG: Pnma, No. 62
DOS at the Fermi energy (states/eV/cell): 27.8



Model ii:
La5Bi2Ir | PBE-GGA | optimized geometry

Cell and atoms, written as CIF:
```
data_La5Bi2Ir
_cell_length_a 7.842
_cell_length_b 7.845
_cell_length_c 6.971
_cell_angle_alpha 123.24
_cell_angle_beta 122.49
_cell_angle_gamma 91.98
_symmetry_space_group_name_H-M 'P 1'
_symmetry_Int_Tables_number 1
loop_
_symmetry_equiv_pos_as_xyz
'x,y,z'
loop_
_atom_site_label
_atom_site_type_symbol
_atom_site_fract_x
_atom_site_fract_y
_atom_site_fract_z
La1 La 0.252 0.265 0.007
La2 La 0.754 0.245 0.999
La3 La 0.252 0.762 0.015
La4 La 0.742 0.755 0.007
La5 La 0.754 0.684 0.438
Bi1 Bi 0.238 0.757 0.506
Bi2 Bi 0.748 0.268 0.505
Ir1 Ir 0.036 0.040 0.077
```

SG: Cm, No. 8
DOS at the Fermi energy (states/eV/cell): 8.5



It is model i that is the most stable of them.



Model i:
LiBi2Ir2 | PBE-GGA | optimized geometry

Cell and atoms, written as CIF:
```
data_LiBi2Ir2
_cell_length_a 7.594
_cell_length_b 7.594
_cell_length_c 3.600
_cell_angle_alpha 90.00
_cell_angle_beta 90.00
_cell_angle_gamma 90.00
_symmetry_space_group_name_H-M 'P 1'
_symmetry_Int_Tables_number 1
loop_
_symmetry_equiv_pos_as_xyz
'x,y,z'
loop_
_atom_site_label
_atom_site_type_symbol
_atom_site_fract_x
_atom_site_fract_y
_atom_site_fract_z
Ir1 Ir 0.132 0.368 0.000
Ir2 Ir 0.868 0.632 0.000
Ir3 Ir 0.632 0.132 0.000
Ir4 Ir 0.368 0.868 0.000
Bi1 Bi 0.334 0.166 0.500
Bi2 Bi 0.166 0.666 0.500
Bi3 Bi 0.834 0.334 0.500
Bi4 Bi 0.666 0.834 0.500
Li1 Li 0.000 0.000 0.000
Li2 Li 0.500 0.500 0.000
```

SG: P4/mbm, No. 127
DOS at the Fermi energy (states/eV/cell): 9.2



Model ii:
LiBi2Ir2 | PBE-GGA | optimized geometry

Cell and atoms, written as CIF:
```
data_LiBi2Ir2
_cell_length_a 4.957
_cell_length_b 4.957
_cell_length_c 6.060
_cell_angle_alpha 65.86
_cell_angle_beta 65.86
_cell_angle_gamma 90.00
_symmetry_space_group_name_H-M 'P 1'
_symmetry_Int_Tables_number 1
loop_
_symmetry_equiv_pos_as_xyz
'x,y,z'
loop_
_atom_site_label
_atom_site_type_symbol
_atom_site_fract_x
_atom_site_fract_y
_atom_site_fract_z
Ir1 Ir 0.625 0.625 0.749
Ir2 Ir 0.375 0.375 0.251
Li1 Li 0.000 0.000 0.000
Bi1 Bi 0.250 0.750 0.500
Bi2 Bi 0.750 0.250 0.500
```

SG: I4/mmm, No. 139
DOS at the Fermi energy (states/eV/cell): 5.1



It is model i that is the most stable of them.



Model i:
Bi3IrN | PBE-GGA | optimized geometry

Cell and atoms, written as CIF:
```
data_Bi3IrN
_cell_length_a 4.798
_cell_length_b 4.798
_cell_length_c 4.798
_cell_angle_alpha 90.00
_cell_angle_beta 90.00
_cell_angle_gamma 90.00
_symmetry_space_group_name_H-M 'P 1'
_symmetry_Int_Tables_number 1
loop_
_symmetry_equiv_pos_as_xyz
'x,y,z'
loop_
_atom_site_label
_atom_site_type_symbol
_atom_site_fract_x
_atom_site_fract_y
_atom_site_fract_z
Bi1 Bi 0.000 0.000 0.500
Bi2 Bi 0.000 0.500 0.000
Bi3 Bi 0.500 0.000 0.000
N1 N 0.000 0.000 0.000
Ir1 Ir 0.500 0.500 0.500
```

SG: Pm-3m, No. 221
DOS at the Fermi energy (states/eV/cell): 3.0



Model ii:
Bi3IrN | PBE-GGA | optimized geometry

Cell and atoms, written as CIF:
```
data_Bi3IrN
_cell_length_a 5.299
_cell_length_b 5.299
_cell_length_c 5.299
_cell_angle_alpha 90.00
_cell_angle_beta 90.00
_cell_angle_gamma 90.00
_symmetry_space_group_name_H-M 'P 1'
_symmetry_Int_Tables_number 1
loop_
_symmetry_equiv_pos_as_xyz
'x,y,z'
loop_
_atom_site_label
_atom_site_type_symbol
_atom_site_fract_x
_atom_site_fract_y
_atom_site_fract_z
N1 N 0.500 0.500 0.500
Bi1 Bi 0.000 0.500 0.000
Bi2 Bi 0.000 0.000 0.500
Bi3 Bi 0.500 0.000 0.000
Ir1 Ir 0.000 0.000 0.000
```

SG: Pm-3m, No. 221
DOS at the Fermi energy (states/eV/cell): 3.8



It is model i that is the most stable of them.



Model i:
BiIr2N | PBE-GGA | optimized geometry

Cell and atoms, written as CIF:
```
data_BiIr2N
_cell_length_a 5.056
_cell_length_b 5.056
_cell_length_c 6.809
_cell_angle_alpha 68.20
_cell_angle_beta 68.20
_cell_angle_gamma 90.00
_symmetry_space_group_name_H-M 'P 1'
_symmetry_Int_Tables_number 1
loop_
_symmetry_equiv_pos_as_xyz
'x,y,z'
loop_
_atom_site_label
_atom_site_type_symbol
_atom_site_fract_x
_atom_site_fract_y
_atom_site_fract_z
Ir1 Ir 0.875 0.738 0.750
Ir2 Ir 0.375 0.512 0.750
Ir3 Ir 0.488 0.125 0.250
Ir4 Ir 0.262 0.625 0.250
N1 N 0.250 0.750 0.500
N2 N 0.500 0.500 0.000
Bi1 Bi 0.000 0.000 0.000
Bi2 Bi 0.750 0.250 0.500
```

SG: I-42d, No. 122
DOS at the Fermi energy (states/eV/cell): 5.8



Model ii:
BiIr2N | PBE-GGA | optimized geometry

Cell and atoms, written as CIF:
```
data_BiIr2N
_cell_length_a 4.457
_cell_length_b 4.457
_cell_length_c 4.457
_cell_angle_alpha 60.00
_cell_angle_beta 60.00
_cell_angle_gamma 60.00
_symmetry_space_group_name_H-M 'P 1'
_symmetry_Int_Tables_number 1
loop_
_symmetry_equiv_pos_as_xyz
'x,y,z'
loop_
_atom_site_label
_atom_site_type_symbol
_atom_site_fract_x
_atom_site_fract_y
_atom_site_fract_z
Ir1 Ir 0.750 0.750 0.750
Ir2 Ir 0.250 0.250 0.250
N1 N 0.000 0.000 0.000
Bi1 Bi 0.500 0.500 0.500
```

SG: Fm-3m, No. 225
DOS at the Fermi energy (states/eV/cell): 5.8



It is model i that is the most stable of them.



Model i:
BiIrSeN2 | PBE-GGA | optimized geometry

Cell and atoms, written as CIF:
```
data_BiIrSeN2
_cell_length_a 4.182
_cell_length_b 4.182
_cell_length_c 5.838
_cell_angle_alpha 90.00
_cell_angle_beta 90.00
_cell_angle_gamma 90.00
_symmetry_space_group_name_H-M 'P 1'
_symmetry_Int_Tables_number 1
loop_
_symmetry_equiv_pos_as_xyz
'x,y,z'
loop_
_atom_site_label
_atom_site_type_symbol
_atom_site_fract_x
_atom_site_fract_y
_atom_site_fract_z
Bi1 Bi 0.000 0.000 0.000
Se1 Se 0.000 0.000 0.500
N1 N 0.000 0.500 0.000
N2 N 0.500 0.000 0.000
Ir1 Ir 0.500 0.500 0.500
```

SG: P4/mmm, No. 123
DOS at the Fermi energy (states/eV/cell): 5.9



Model ii:
BiIrSeN2 | PBE-GGA | optimized geometry

Cell and atoms, written as CIF:
```
data_BiIrSeN2
_cell_length_a 3.965
_cell_length_b 3.965
_cell_length_c 5.363
_cell_angle_alpha 90.00
_cell_angle_beta 90.00
_cell_angle_gamma 90.00
_symmetry_space_group_name_H-M 'P 1'
_symmetry_Int_Tables_number 1
loop_
_symmetry_equiv_pos_as_xyz
'x,y,z'
loop_
_atom_site_label
_atom_site_type_symbol
_atom_site_fract_x
_atom_site_fract_y
_atom_site_fract_z
N1 N 0.000 0.500 0.000
N2 N 0.500 0.000 0.000
Ir1 Ir 0.000 0.000 0.000
Bi1 Bi 0.500 0.500 0.500
Se1 Se 0.000 0.000 0.500
```

SG: P4/mmm, No. 123
DOS at the Fermi energy (states/eV/cell): 4.1



It is model ii that is the most stable of them.



Model i:
BiIrSe2N | PBE-GGA | optimized geometry

Cell and atoms, written as CIF:
```
data_BiIrSe2N
_cell_length_a 5.430
_cell_length_b 5.430
_cell_length_c 4.196
_cell_angle_alpha 90.00
_cell_angle_beta 90.00
_cell_angle_gamma 90.00
_symmetry_space_group_name_H-M 'P 1'
_symmetry_Int_Tables_number 1
loop_
_symmetry_equiv_pos_as_xyz
'x,y,z'
loop_
_atom_site_label
_atom_site_type_symbol
_atom_site_fract_x
_atom_site_fract_y
_atom_site_fract_z
Bi1 Bi 0.000 0.000 0.000
Se1 Se 0.000 0.500 0.000
Se2 Se 0.500 0.000 0.000
N1 N 0.000 0.000 0.500
Ir1 Ir 0.500 0.500 0.500
```

SG: P4/mmm, No. 123
DOS at the Fermi energy (states/eV/cell): 7.4



Model ii:
BiIrSe2N | PBE-GGA | optimized geometry

Cell and atoms, written as CIF:
```
data_BiIrSe2N
_cell_length_a 5.229
_cell_length_b 5.229
_cell_length_c 3.711
_cell_angle_alpha 90.00
_cell_angle_beta 90.00
_cell_angle_gamma 90.00
_symmetry_space_group_name_H-M 'P 1'
_symmetry_Int_Tables_number 1
loop_
_symmetry_equiv_pos_as_xyz
'x,y,z'
loop_
_atom_site_label
_atom_site_type_symbol
_atom_site_fract_x
_atom_site_fract_y
_atom_site_fract_z
Ir1 Ir 0.000 0.000 0.000
Se1 Se 0.500 0.000 0.000
Se2 Se 0.000 0.500 0.000
Bi1 Bi 0.500 0.500 0.500
N1 N 0.000 0.000 0.500
```

SG: P4/mmm, No. 123
DOS at the Fermi energy (states/eV/cell): 3.0



It is model ii that is the most stable of them.